No. 1
The following is a meta-GGA SCAN calculation of a PBEsol-optimized structure of TiBeWSe2, from the Alexandria database.

a b c (Å): 4.8104 4.8104 4.3456
angles (deg): 90.00 90.00 90.00
Positions (direct):
Ti1 0.0000 0.0000 0.0000
Be1 0.5000 0.5000 0.0000
W1 0.5000 0.5000 0.5000
Se1 0.0000 0.5000 0.5000
Se2 0.5000 0.0000 0.5000

Its total energy is -126.98 eV per cell. The symmetry is P4/mmm. The value obtained for the uncorrected formation energy is 0.651 eV/atom. Its density of states at the Fermi level is 3.22 states/eV per cell.

***

No. 2
The following is a meta-GGA SCAN calculation of a PBEsol-optimized structure of Ir2RhBr, from the Alexandria database.

a b c (Å): 8.5621 2.7839 6.4607
angles (deg): 90.00 100.44 90.00
Positions (direct):
Ir1 0.0000 0.0000 0.0000
Ir2 0.2468 0.5000 0.1512
Ir3 0.5000 0.5000 0.0000
Ir4 0.7468 0.0000 0.1512
Rh1 0.4962 0.0000 0.3355
Rh2 0.9962 0.5000 0.3355
Br1 0.3929 0.0000 0.6652
Br2 0.8929 0.5000 0.6652

Its total energy is -385.87 eV per cell. The symmetry is Cm. The value obtained for the uncorrected formation energy is 0.623 eV/atom. The distance to the lowest polymorph of the same formula comes out at 0.000 eV/f.u. Its density of states at the Fermi level is 8.14 states/eV per cell.

***

No. 3
The following is a meta-GGA SCAN calculation of a PBEsol-optimized structure of SiAg2S, from the Alexandria database.

a b c (Å): 6.4574 6.4574 6.4574
angles (deg): 90.00 90.00 90.00
Positions (direct):
Si1 0.0000 0.0000 0.0000
Si2 0.0000 0.5000 0.5000
Si3 0.5000 0.0000 0.5000
Si4 0.5000 0.5000 0.0000
Ag1 0.2500 0.2500 0.2500
Ag2 0.2500 0.2500 0.7500
Ag3 0.2500 0.7500 0.2500
Ag4 0.2500 0.7500 0.7500
Ag5 0.7500 0.2500 0.2500
Ag6 0.7500 0.2500 0.7500
Ag7 0.7500 0.7500 0.2500
Ag8 0.7500 0.7500 0.7500
S1 0.0000 0.0000 0.5000
S2 0.0000 0.5000 0.0000
S3 0.5000 0.0000 0.0000
S4 0.5000 0.5000 0.5000

Its total energy is -321.09 eV per cell. The symmetry is Fm-3m. The value obtained for the uncorrected formation energy is 0.526 eV/atom. Its density of states at the Fermi level is 6.61 states/eV per cell.